Record 1
CsAgHg2Rh: optimized geometry, GGA-PBE.

ΔE_f ... 0.034 eV per atom
Density ... 8.02 g/cm3
Calculated total energy ... -11.49 eV for the cell shown

abc: 5.3378 5.3378 5.4098
angles: 90.00 90.00 90.00
With the nearest neighbours (Å) after each atom.
Sites, in units of the cell vectors:
Cs  0.0000  0.0000  0.0000  4 Ag 3.77, 8 Hg 3.80
Ag  0.5000  0.5000  0.0000  2 Rh 2.70
Hg  0.0000  0.5000  0.5000  2 Rh 2.67
Hg  0.5000  0.0000  0.5000  2 Rh 2.67
Rh  0.5000  0.5000  0.5000  4 Hg 2.67, 2 Ag 2.70

=====

Record 2
CsAgHg2S: optimized geometry, GGA-PBE.

Raw formation energy ... -0.249 eV per atom
Density ... 6.74 g/cm3
Calculated total energy ... -9.68 eV for the cell shown

abc: 5.7226 5.7226 5.0677
angles: 90.00 90.00 90.00
With the nearest neighbours (Å) after each atom.
Sites, in units of the cell vectors:
Cs  0.0000  0.0000  0.0000  8 Hg 3.82, 4 S 4.05
Ag  0.5000  0.5000  0.5000  2 S 2.53
Hg  0.0000  0.5000  0.5000  2 Ag 2.86
Hg  0.5000  0.0000  0.5000  2 Ag 2.86
S  0.5000  0.5000  0.0000  2 Ag 2.53

=====

Record 3
CsAgHg2Sb: optimized geometry, GGA-PBE.

Raw formation energy ... -0.030 eV per atom
Density ... 7.06 g/cm3
Distance to the lowest polymorph of the same formula ... 0.013 eV per atom
Calculated total energy ... -8.58 eV for the cell shown

abc: 5.6952 5.6952 5.5409
angles: 90.00 90.00 90.00
With the nearest neighbours (Å) after each atom.
Sites, in units of the cell vectors:
Cs  0.0000  0.0000  0.0000  8 Hg 3.97, 4 Sb 4.03
Ag  0.5000  0.5000  0.5000  2 Sb 2.77, 4 Hg 2.85
Hg  0.0000  0.5000  0.5000  2 Ag 2.85
Hg  0.5000  0.0000  0.5000  2 Ag 2.85
Sb  0.5000  0.5000  0.0000  2 Ag 2.77

=====

Record 4
CsAgHg2Sb: optimized geometry, GGA-PBE.

Raw formation energy ... -0.043 eV per atom
Density ... 6.59 g/cm3
Distance to the lowest polymorph of the same formula ... 0.000 eV per atom
Calculated total energy ... -8.64 eV for the cell shown

abc: 5.9052 5.9052 5.5154
angles: 90.00 90.00 90.00
With the nearest neighbours (Å) after each atom.
Sites, in units of the cell vectors:
Cs  0.0000  0.0000  0.0000  8 Hg 4.04, 4 Ag 4.18
Ag  0.5000  0.5000  0.0000  2 Sb 2.76
Hg  0.0000  0.5000  0.5000  2 Sb 2.95
Hg  0.5000  0.0000  0.5000  2 Sb 2.95
Sb  0.5000  0.5000  0.5000  2 Ag 2.76, 4 Hg 2.95

=====

Record 5
CsAgHgSe: optimized geometry, GGA-PBE.

Raw formation energy ... -0.471 eV per atom
Density ... 6.24 g/cm3
Calculated total energy ... -18.75 eV for the cell shown

abc: 4.6050 4.6050 13.0598
angles: 90.00 90.00 90.00
With the nearest neighbours (Å) after each atom.
Sites, in units of the cell vectors:
Cs  0.2500  0.2500  0.2358  4 Se 3.59, 4 Ag 3.84
Cs  0.7500  0.7500  0.7642  4 Se 3.59, 4 Ag 3.84
Ag  0.2500  0.7500  0.0000  4 Se 2.79
Ag  0.7500  0.2500  0.0000  4 Se 2.79
Hg  0.2500  0.7500  0.5000  4 Hg 3.26
Hg  0.7500  0.2500  0.5000  4 Hg 3.26
Se  0.2500  0.2500  0.8797  4 Ag 2.79
Se  0.7500  0.7500  0.1203  4 Ag 2.79

=====

Record 6
CsSiAg2Hg: optimized geometry, GGA-PBE.

Raw formation energy ... 0.075 eV per atom
Density ... 6.62 g/cm3
Calculated total energy ... -11.90 eV for the cell shown

abc: 5.0604 5.0604 5.6592
angles: 90.00 90.00 90.00
With the nearest neighbours (Å) after each atom.
Sites, in units of the cell vectors:
Cs  0.0000  0.0000  0.0000  4 Hg 3.58, 8 Ag 3.80
Si  0.5000  0.5000  0.5000  4 Ag 2.53, 2 Hg 2.83
Ag  0.0000  0.5000  0.5000  2 Si 2.53
Ag  0.5000  0.0000  0.5000  2 Si 2.53
Hg  0.5000  0.5000  0.0000  2 Si 2.83

=====

Record 7
CsSiAgHg2: optimized geometry, GGA-PBE.

Raw formation energy ... 0.050 eV per atom
Density ... 7.03 g/cm3
Calculated total energy ... -9.48 eV for the cell shown

abc: 5.6387 5.6387 4.9800
angles: 90.00 90.00 90.00
With the nearest neighbours (Å) after each atom.
Sites, in units of the cell vectors:
Cs  0.0000  0.0000  0.0000  8 Hg 3.76, 4 Ag 3.99
Si  0.5000  0.5000  0.5000  2 Ag 2.49
Ag  0.5000  0.5000  0.0000  2 Si 2.49
Hg  0.0000  0.5000  0.5000  2 Si 2.82
Hg  0.5000  0.0000  0.5000  2 Si 2.82

=====

Record 8
CsAg2SnHg: optimized geometry, GGA-PBE.

ΔE_f ... 0.003 eV per atom
Density ... 6.32 g/cm3
Calculated total energy ... -10.84 eV for the cell shown

abc: 5.4123 5.4123 5.9901
angles: 90.00 90.00 90.00
With the nearest neighbours (Å) after each atom.
Sites, in units of the cell vectors:
Cs  0.0000  0.0000  0.0000  4 Hg 3.83, 8 Ag 4.04
Ag  0.0000  0.5000  0.5000  2 Sn 2.71
Ag  0.5000  0.0000  0.5000  2 Sn 2.71
Sn  0.5000  0.5000  0.5000  4 Ag 2.71, 2 Hg 3.00
Hg  0.5000  0.5000  0.0000  2 Sn 3.00

=====

In order of appearance, total magnetic moment = 0.00 0.00 0.81 0.00 0.00 0.00 0.00 0.00 Bohr magnetons per cell.